1.
Density functional theory data (PBE-GGA) for KAgCl3 after structural relaxation.

Lattice parameters (Å, degrees): 9.417 7.329 9.834 90.00 121.42 90.00
Space group P2_1/c (No. 14)
One atom of each set of equivalent atoms:
K 0.165 0.248 0.082 [4 per cell]
Ag 0.298 0.685 0.399 [4 per cell]
Cl 0.029 0.542 0.264 [4 per cell]
Cl 0.268 0.747 0.634 [4 per cell]
Cl 0.411 0.249 0.455 [4 per cell]

Calculated values
- Energy relative to the elements, uncorrected: -1004 meV per atom
- Total energy: -2.901 eV per atom



2.
Density functional theory data (PBE-GGA) for Ce4PIrSe2 after structural relaxation.

Lattice parameters (Å, degrees): 7.220 4.095 7.296 90.00 108.52 90.00
Space group P2/m (No. 10)
One atom of each set of equivalent atoms:
Ce 0.240 0.000 0.229 [2 per cell]
Ce 0.251 0.500 0.769 [2 per cell]
P 0.500 0.000 0.000 [1 per cell]
Ir 0.000 0.500 0.000 [1 per cell]
Se 0.000 0.000 0.500 [1 per cell]
Se 0.500 0.500 0.500 [1 per cell]

Calculated values
- Energy relative to the elements, uncorrected: -1435 meV per atom
- Total energy: -7.057 eV per atom



3.
Density functional theory data (PBE-GGA) for AsOs after structural relaxation.

Lattice parameters (Å, degrees): 6.986 9.365 11.938 90.00 90.00 90.00
Space group Fddd (No. 70, origin choice 2)
One atom of each set of equivalent atoms:
As 0.125 0.332 0.125 [16 per cell]
Os 0.125 0.125 0.003 [16 per cell]

Calculated values
- Total energy: -7.580 eV per atom
- ΔE_f: 34.7 kJ per mole of atoms



4.
Density functional theory data (PBE-GGA) for YCrCd after structural relaxation.

Lattice parameters (Å, degrees): 6.956 6.956 6.956 90.00 90.00 90.00
Space group F-43m (No. 216)
One atom of each set of equivalent atoms:
Y 0.000 0.000 0.000 [4 per cell]
Cr 0.250 0.250 0.750 [4 per cell]
Cd 0.250 0.250 0.250 [4 per cell]

Calculated values
- Total energy: -4.886 eV per atom
- ΔE_f: 75.4 kJ per mole of atoms



5.
Density functional theory data (PBE-GGA) for MnGaTe2I after structural relaxation.

Lattice parameters (Å, degrees): 5.230 5.230 5.841 90.00 90.00 90.00
Space group P4/mmm (No. 123)
One atom of each set of equivalent atoms:
Mn 0.000 0.000 0.000 [1 per cell]
Ga 0.500 0.500 0.500 [1 per cell]
Te 0.000 0.500 0.000 [2 per cell]
I 0.000 0.000 0.500 [1 per cell]

Calculated values
- Energy relative to the elements, uncorrected: 86 meV per atom
- Total energy: -3.920 eV per atom
- Distance to the lowest polymorph of the same formula: 0.00 eV per formula unit



6.
Density functional theory data (PBE-GGA) for ZrPbBr2 after structural relaxation.

Lattice parameters (Å, degrees): 14.404 3.378 5.569 90.00 102.94 90.00
Space group C2/m (No. 12)
One atom of each set of equivalent atoms:
Zr 0.000 0.000 0.000 [2 per cell]
Pb 0.000 0.500 0.500 [2 per cell]
Br 0.153 0.500 0.188 [4 per cell]

Calculated values
- Energy relative to the elements, uncorrected: -648 meV per atom
- Total energy: -4.549 eV per atom
- Distance to the lowest polymorph of the same formula: 0.50 eV per formula unit



Repeat the fourth record exactly.
Density functional theory data (PBE-GGA) for YCrCd after structural relaxation.

Lattice parameters (Å, degrees): 6.956 6.956 6.956 90.00 90.00 90.00
Space group F-43m (No. 216)
One atom of each set of equivalent atoms:
Y 0.000 0.000 0.000 [4 per cell]
Cr 0.250 0.250 0.750 [4 per cell]
Cd 0.250 0.250 0.250 [4 per cell]

Calculated values
- Total energy: -4.886 eV per atom
- ΔE_f: 75.4 kJ per mole of atoms



Question: Among the records above, which one has the highest total energy?
Answer: KAgCl3



Question: What is the total energy in the fourth record?
Answer: -4.886 eV per atom